Record 1
Cu4Rh after structural relaxation, computed with GGA-PBE.

abc: 5.784 5.784 3.736
angles: 90.00 90.00 90.00
Space group I4/m (No. 87)
Unique sites:
Cu 0.096 0.302 0.000 [8 per cell]
Rh 0.000 0.000 0.500 [2 per cell]

size of the total moment	0.000	μB/cell
total DFT energy (no corrections)	-4.73	eV per atom
density of states at the Fermi level	4.6	states/eV/cell
E_form	10	kJ/mol of formula units
crystal system	tetragonal



Record 2
CuRh4 after structural relaxation, computed with GGA-PBE.

abc: 3.807 5.397 7.160
angles: 101.00 105.37 90.08
Space group P-1 (No. 2)
Unique sites:
Cu 0.099 0.049 0.198 [2 per cell]
Rh 0.100 0.549 0.199 [2 per cell]
Rh 0.300 0.149 0.599 [2 per cell]
Rh 0.300 0.649 0.600 [2 per cell]
Rh 0.500 0.247 0.999 [2 per cell]

size of the total moment	0.000	μB/cell
total DFT energy (no corrections)	-6.64	eV per atom
density of states at the Fermi level	17.2	states/eV/cell
E_form	29	kJ/mol of formula units
crystal system	triclinic



Record 3
Cu2Rh after structural relaxation, computed with GGA-PBE.

abc: 5.250 3.747 7.846
angles: 90.00 90.00 90.00
Space group Pnma (No. 62)
Unique sites:
Cu 0.117 0.250 0.248 [4 per cell]
Cu 0.124 0.250 0.916 [4 per cell]
Rh 0.126 0.250 0.585 [4 per cell]

size of the total moment	0.002	μB/cell
total DFT energy (no corrections)	-5.11	eV per atom
density of states at the Fermi level	16.8	states/eV/cell
E_form	20	kJ/mol of formula units
crystal system	orthorhombic